VASP calculation (PBE) on an optimized crystal structure of Ag2BiSb2.

POSCAR file:
```
Ag2BiSb2
1.0
4.460 0.000 0.000
0.000 4.460 0.000
2.230 2.230 6.538
Sb Bi Ag
2 1 2
Direct
0.750 0.250 0.500 Sb
0.250 0.750 0.500 Sb
0.000 0.000 0.000 Bi
0.397 0.397 0.205 Ag
0.603 0.603 0.795 Ag
```

Results
As for the space group: I4/mmm (139). The mass density comes out at 8.5 Mg/m³. The polymorph energy (0 for the lowest one) is 0.101 eV per atom. As for the formation energy from raw total energies: 0.235 eV/atom. As for the crystal system: tetragonal.